! Ca2MgSc (GGA-PBE, optimized geometry); values from VASP
! - E (eV/atom) = -2.844
&SYSTEM
  ibrav = 0, nat = 4, ntyp = 3
/
ATOMIC_SPECIES
Ca 40.08 Ca.upf
Mg 24.30 Mg.upf
Sc 44.96 Sc.upf
ATOMIC_POSITIONS angstrom
Ca 0.000 0.000 0.000
Ca 0.000 2.771 2.011
Mg 0.000 0.000 4.022
Sc 2.771 0.000 2.011
CELL_PARAMETERS angstrom
-2.771 2.771 4.022
2.771 -2.771 4.022
2.771 2.771 -4.022

=====

! Ca2MgSc (GGA-PBE, optimized geometry); values from VASP
! - E (eV/atom) = -2.850
&SYSTEM
  ibrav = 0, nat = 4, ntyp = 3
/
ATOMIC_SPECIES
Ca 40.08 Ca.upf
Mg 24.30 Mg.upf
Sc 44.96 Sc.upf
ATOMIC_POSITIONS angstrom
Ca 0.000 0.000 0.000
Ca 0.004 4.009 2.894
Mg 1.797 0.963 2.894
Sc 1.793 3.046 0.000
CELL_PARAMETERS angstrom
3.586 0.000 0.000
0.000 6.092 0.000
0.009 1.925 5.789

=====

! Ca2Mg2Sc (GGA-PBE, optimized geometry); values from VASP
! - ΔE to the lowest computed polymorph (meV per atom) = 69
&SYSTEM
  ibrav = 0, nat = 10, ntyp = 3
/
ATOMIC_SPECIES
Ca 40.08 Ca.upf
Mg 24.30 Mg.upf
Sc 44.96 Sc.upf
ATOMIC_POSITIONS angstrom
Ca 1.250 3.310 0.000
Ca 3.310 7.869 0.000
Ca 5.809 1.250 0.000
Ca 7.869 5.809 0.000
Mg 1.471 6.031 1.778
Mg 3.088 1.471 1.778
Mg 6.031 7.648 1.778
Mg 7.648 3.088 1.778
Sc 0.000 0.000 0.000
Sc 4.559 4.559 0.000
CELL_PARAMETERS angstrom
9.119 0.000 0.000
0.000 9.119 0.000
0.000 0.000 3.557

=====

! CaMg6Sc (GGA-PBE, optimized geometry); values from VASP
! - ΔE to the lowest computed polymorph (meV per atom) = 9
&SYSTEM
  ibrav = 0, nat = 8, ntyp = 3
/
ATOMIC_SPECIES
Ca 40.08 Ca.upf
Mg 24.30 Mg.upf
Sc 44.96 Sc.upf
ATOMIC_POSITIONS angstrom
Ca 0.000 0.000 0.000
Mg 0.000 -1.646 8.612
Mg 0.000 0.000 5.770
Mg 0.000 1.646 8.612
Mg 2.597 0.000 1.996
Mg 2.597 -1.588 4.751
Mg 2.597 1.588 4.751
Sc 2.597 0.000 7.667
CELL_PARAMETERS angstrom
5.193 0.000 0.000
0.000 3.318 5.745
0.000 -3.318 5.745

=====

! CaMgSc2 (GGA-PBE, optimized geometry); values from VASP
! - E (eV/atom) = -3.968
&SYSTEM
  ibrav = 0, nat = 4, ntyp = 3
/
ATOMIC_SPECIES
Ca 40.08 Ca.upf
Mg 24.30 Mg.upf
Sc 44.96 Sc.upf
ATOMIC_POSITIONS angstrom
Ca 0.000 0.000 0.000
Mg 0.000 0.000 5.668
Sc 1.784 0.000 3.109
Sc 0.000 2.693 2.559
CELL_PARAMETERS angstrom
-1.784 2.693 5.668
1.784 -2.693 5.668
1.784 2.693 -5.668

=====

! Ca3MgSc3Se8 (GGA-PBE, optimized geometry); values from VASP
! - E (eV/atom) = -5.366
&SYSTEM
  ibrav = 0, nat = 15, ntyp = 4
/
ATOMIC_SPECIES
Ca 40.08 Ca.upf
Mg 24.30 Mg.upf
Sc 44.96 Sc.upf
Se 78.96 Se.upf
ATOMIC_POSITIONS angstrom
Ca -1.979 -1.143 6.715
Ca -1.979 1.143 13.430
Ca 0.000 2.286 6.715
Mg 0.000 0.000 10.072
Sc -3.959 0.000 10.072
Sc -1.979 1.143 3.357
Sc 1.979 1.143 3.357
Se -2.002 -1.156 11.602
Se 0.000 0.000 4.908
Se 0.000 -2.312 8.543
Se -2.002 1.156 8.543
Se 2.002 -1.156 11.602
Se 0.000 2.312 11.602
Se 0.000 0.000 15.237
Se 2.002 1.156 8.543
CELL_PARAMETERS angstrom
3.959 2.286 6.715
-3.959 2.286 6.715
0.000 -4.571 6.715

=====

! Ca2MgScSe4 (GGA-PBE, optimized geometry); values from VASP
! - E (eV/atom) = -4.915
&SYSTEM
  ibrav = 0, nat = 8, ntyp = 4
/
ATOMIC_SPECIES
Ca 40.08 Ca.upf
Mg 24.30 Mg.upf
Sc 44.96 Sc.upf
Se 78.96 Se.upf
ATOMIC_POSITIONS angstrom
Ca 0.000 0.000 0.000
Ca -1.169 2.007 3.315
Mg 2.336 0.000 3.315
Sc 3.505 2.007 0.000
Se 0.118 0.000 5.014
Se 1.308 2.007 1.709
Se 3.365 2.007 4.920
Se 4.554 0.000 1.615
CELL_PARAMETERS angstrom
7.011 0.000 0.000
0.000 4.015 0.000
-2.338 0.000 6.629

=====

! Ca2MgScSe (GGA-PBE, optimized geometry); values from VASP
! - E (eV/atom) = -3.008
&SYSTEM
  ibrav = 0, nat = 5, ntyp = 4
/
ATOMIC_SPECIES
Ca 40.08 Ca.upf
Mg 24.30 Mg.upf
Sc 44.96 Sc.upf
Se 78.96 Se.upf
ATOMIC_POSITIONS angstrom
Ca 0.000 3.105 0.000
Ca 3.105 0.000 0.000
Mg 0.000 0.000 2.480
Sc 3.105 3.105 0.000
Se 3.105 3.105 2.480
CELL_PARAMETERS angstrom
6.209 0.000 0.000
0.000 6.209 0.000
0.000 0.000 4.961

=====

! CaMgSc2Ta (GGA-PBE, optimized geometry); values from VASP
! - E (eV/atom) = -4.616
&SYSTEM
  ibrav = 0, nat = 5, ntyp = 4
/
ATOMIC_SPECIES
Ca 40.08 Ca.upf
Mg 24.30 Mg.upf
Sc 44.96 Sc.upf
Ta 180.95 Ta.upf
ATOMIC_POSITIONS angstrom
Ca 0.000 0.000 0.000
Mg 2.606 2.606 2.558
Sc 0.000 2.606 2.558
Sc 2.606 0.000 2.558
Ta 2.606 2.606 0.000
CELL_PARAMETERS angstrom
5.211 0.000 0.000
0.000 5.211 0.000
0.000 0.000 5.116

=====

! CaTbMgSc (GGA-PBE, optimized geometry); values from VASP
! - E (eV/atom) = -3.533
&SYSTEM
  ibrav = 0, nat = 4, ntyp = 4
/
ATOMIC_SPECIES
Ca 40.08 Ca.upf
Tb 158.93 Tb.upf
Mg 24.30 Mg.upf
Sc 44.96 Sc.upf
ATOMIC_POSITIONS angstrom
Ca 0.000 0.000 0.000
Tb 3.880 3.880 3.880
Mg 1.940 1.940 1.940
Sc 5.820 5.820 5.820
CELL_PARAMETERS angstrom
0.000 3.880 3.880
3.880 0.000 3.880
3.880 3.880 0.000

=====

! CaMg2ScTl4 (GGA-PBE, optimized geometry); values from VASP
! - E (eV/atom) = -2.823
&SYSTEM
  ibrav = 0, nat = 8, ntyp = 4
/
ATOMIC_SPECIES
Ca 40.08 Ca.upf
Mg 24.30 Mg.upf
Sc 44.96 Sc.upf
Tl 204.38 Tl.upf
ATOMIC_POSITIONS angstrom
Ca 0.000 0.000 0.000
Mg 0.000 0.000 6.481
Mg 0.000 0.000 19.549
Sc 0.000 0.000 13.015
Tl 0.000 0.000 3.297
Tl 0.000 0.000 9.873
Tl 0.000 0.000 16.156
Tl 0.000 0.000 22.732
CELL_PARAMETERS angstrom
2.589 1.495 8.676
-2.589 1.495 8.676
0.000 -2.990 8.676

=====

! CaTmMgSc (GGA-PBE, optimized geometry); values from VASP
! - E (eV/atom) = -3.480
&SYSTEM
  ibrav = 0, nat = 4, ntyp = 4
/
ATOMIC_SPECIES
Ca 40.08 Ca.upf
Tm 168.93 Tm.upf
Mg 24.30 Mg.upf
Sc 44.96 Sc.upf
ATOMIC_POSITIONS angstrom
Ca 0.000 0.000 0.000
Tm 3.857 3.857 3.857
Mg 5.785 5.785 5.785
Sc 1.928 1.928 1.928
CELL_PARAMETERS angstrom
0.000 3.857 3.857
3.857 0.000 3.857
3.857 3.857 0.000

=====

! CaYMgSc (GGA-PBE, optimized geometry); values from VASP
! - E (eV/atom) = -3.993
&SYSTEM
  ibrav = 0, nat = 4, ntyp = 4
/
ATOMIC_SPECIES
Ca 40.08 Ca.upf
Y 88.91 Y.upf
Mg 24.30 Mg.upf
Sc 44.96 Sc.upf
ATOMIC_POSITIONS angstrom
Ca 0.000 0.000 0.000
Y 3.883 3.883 3.883
Mg 5.824 5.824 5.824
Sc 1.941 1.941 1.941
CELL_PARAMETERS angstrom
0.000 3.883 3.883
3.883 0.000 3.883
3.883 3.883 0.000

=====

! Ca2YMgSc (GGA-PBE, optimized geometry); values from VASP
! - E (eV/atom) = -2.660
&SYSTEM
  ibrav = 0, nat = 5, ntyp = 4
/
ATOMIC_SPECIES
Ca 40.08 Ca.upf
Y 88.91 Y.upf
Mg 24.30 Mg.upf
Sc 44.96 Sc.upf
ATOMIC_POSITIONS angstrom
Ca 0.000 2.887 0.000
Ca 2.887 0.000 0.000
Y 0.000 0.000 0.000
Mg 0.000 0.000 2.799
Sc 2.887 2.887 2.799
CELL_PARAMETERS angstrom
5.774 0.000 0.000
0.000 5.774 0.000
0.000 0.000 5.598

=====

! CaMgScZn (GGA-PBE, optimized geometry); values from VASP
! - E (eV/atom) = -2.888
&SYSTEM
  ibrav = 0, nat = 4, ntyp = 4
/
ATOMIC_SPECIES
Ca 40.08 Ca.upf
Mg 24.30 Mg.upf
Sc 44.96 Sc.upf
Zn 65.41 Zn.upf
ATOMIC_POSITIONS angstrom
Ca 0.000 0.000 0.000
Mg 1.813 1.813 1.813
Sc 3.627 3.627 3.627
Zn 5.440 5.440 5.440
CELL_PARAMETERS angstrom
0.000 3.627 3.627
3.627 0.000 3.627
3.627 3.627 0.000

=====

! CaMgSc2Zn4 (GGA-PBE, optimized geometry); values from VASP
! - E (eV/atom) = -2.913
&SYSTEM
  ibrav = 0, nat = 8, ntyp = 4
/
ATOMIC_SPECIES
Ca 40.08 Ca.upf
Mg 24.30 Mg.upf
Sc 44.96 Sc.upf
Zn 65.41 Zn.upf
ATOMIC_POSITIONS angstrom
Ca 0.000 0.000 0.000
Mg 0.000 0.000 11.939
Sc 0.000 0.000 5.868
Sc 0.000 0.000 18.010
Zn 0.000 0.000 3.006
Zn 0.000 0.000 9.078
Zn 0.000 0.000 14.800
Zn 0.000 0.000 20.872
CELL_PARAMETERS angstrom
2.395 1.383 7.959
-2.395 1.383 7.959
0.000 -2.765 7.959

=====

! CaMgSe3 (GGA-PBE, optimized geometry); values from VASP
! - ΔE to the lowest computed polymorph (meV per atom) = 0
&SYSTEM
  ibrav = 0, nat = 5, ntyp = 3
/
ATOMIC_SPECIES
Ca 40.08 Ca.upf
Mg 24.30 Mg.upf
Se 78.96 Se.upf
ATOMIC_POSITIONS angstrom
Ca 0.000 0.000 0.000
Mg 2.541 2.541 2.541
Se 0.000 2.541 2.541
Se 2.541 0.000 2.541
Se 2.541 2.541 0.000
CELL_PARAMETERS angstrom
5.081 0.000 0.000
0.000 5.081 0.000
0.000 0.000 5.081

=====

! CaMg2Se (GGA-PBE, optimized geometry); values from VASP
! - E (eV/atom) = -2.685
&SYSTEM
  ibrav = 0, nat = 4, ntyp = 3
/
ATOMIC_SPECIES
Ca 40.08 Ca.upf
Mg 24.30 Mg.upf
Se 78.96 Se.upf
ATOMIC_POSITIONS angstrom
Ca 0.000 0.000 0.000
Mg 0.000 0.000 5.989
Mg 0.000 0.000 20.345
Se 0.000 0.000 13.167
CELL_PARAMETERS angstrom
1.937 1.118 8.778
-1.937 1.118 8.778
0.000 -2.237 8.778

=====

! CaMgSe (GGA-PBE, optimized geometry); values from VASP
! - ΔE to the lowest computed polymorph (meV per atom) = 0
&SYSTEM
  ibrav = 0, nat = 3, ntyp = 3
/
ATOMIC_SPECIES
Ca 40.08 Ca.upf
Mg 24.30 Mg.upf
Se 78.96 Se.upf
ATOMIC_POSITIONS angstrom
Ca 0.000 0.000 0.000
Mg 2.008 1.159 2.752
Se 0.000 2.318 4.297
CELL_PARAMETERS angstrom
4.016 0.000 0.000
-2.008 3.478 0.000
0.000 0.000 6.087

=====

! Ca3MgSe (GGA-PBE, optimized geometry); values from VASP
! - ΔE to the lowest computed polymorph (meV per atom) = 0
&SYSTEM
  ibrav = 0, nat = 5, ntyp = 3
/
ATOMIC_SPECIES
Ca 40.08 Ca.upf
Mg 24.30 Mg.upf
Se 78.96 Se.upf
ATOMIC_POSITIONS angstrom
Ca 0.000 0.000 2.812
Ca 0.000 2.812 0.000
Ca 2.812 0.000 0.000
Mg 2.812 2.812 2.812
Se 0.000 0.000 0.000
CELL_PARAMETERS angstrom
5.623 0.000 0.000
0.000 5.623 0.000
0.000 0.000 5.623

=====

! CaMg2Se (GGA-PBE, optimized geometry); values from VASP
! - E (eV/atom) = -2.759
&SYSTEM
  ibrav = 0, nat = 4, ntyp = 3
/
ATOMIC_SPECIES
Ca 40.08 Ca.upf
Mg 24.30 Mg.upf
Se 78.96 Se.upf
ATOMIC_POSITIONS angstrom
Ca 0.000 0.000 0.000
Mg -0.951 1.914 2.989
Mg 1.336 0.000 2.989
Se 2.287 1.914 0.000
CELL_PARAMETERS angstrom
4.573 0.000 0.000
0.000 3.829 0.000
-1.901 0.000 5.977

=====

! CaMg2Se (GGA-PBE, optimized geometry); values from VASP
! - E (eV/atom) = -2.522
&SYSTEM
  ibrav = 0, nat = 4, ntyp = 3
/
ATOMIC_SPECIES
Ca 40.08 Ca.upf
Mg 24.30 Mg.upf
Se 78.96 Se.upf
ATOMIC_POSITIONS angstrom
Ca 0.000 0.000 0.000
Mg 3.727 3.727 3.727
Mg 5.591 5.591 5.591
Se 1.864 1.864 1.864
CELL_PARAMETERS angstrom
0.000 3.727 3.727
3.727 0.000 3.727
3.727 3.727 0.000

=====

! CaMg2Se (GGA-PBE, optimized geometry); values from VASP
! - E (eV/atom) = -2.832
&SYSTEM
  ibrav = 0, nat = 4, ntyp = 3
/
ATOMIC_SPECIES
Ca 40.08 Ca.upf
Mg 24.30 Mg.upf
Se 78.96 Se.upf
ATOMIC_POSITIONS angstrom
Ca 0.000 0.000 0.000
Mg 1.827 0.000 3.340
Mg 0.000 2.348 2.498
Se 0.000 0.000 5.839
CELL_PARAMETERS angstrom
-1.827 2.348 5.839
1.827 -2.348 5.839
1.827 2.348 -5.839

=====

! CaMgSe4 (GGA-PBE, optimized geometry); values from VASP
! - E (eV/atom) = -3.069
&SYSTEM
  ibrav = 0, nat = 6, ntyp = 3
/
ATOMIC_SPECIES
Ca 40.08 Ca.upf
Mg 24.30 Mg.upf
Se 78.96 Se.upf
ATOMIC_POSITIONS angstrom
Ca 0.000 0.000 0.000
Mg 6.252 6.252 6.252
Se 3.135 3.135 3.135
Se 5.201 5.201 3.135
Se 5.201 3.135 5.201
Se 3.135 5.201 5.201
CELL_PARAMETERS angstrom
0.000 4.168 4.168
4.168 0.000 4.168
4.168 4.168 0.000

=====

! Ca4MgSe5 (GGA-PBE, optimized geometry); values from VASP
! - E (eV/atom) = -4.562
&SYSTEM
  ibrav = 0, nat = 10, ntyp = 3
/
ATOMIC_SPECIES
Ca 40.08 Ca.upf
Mg 24.30 Mg.upf
Se 78.96 Se.upf
ATOMIC_POSITIONS angstrom
Ca 0.000 0.000 5.219
Ca 0.000 0.000 15.214
Ca 0.000 0.000 35.649
Ca 0.000 0.000 45.644
Mg 0.000 0.000 25.431
Se 0.000 0.000 0.000
Se 0.000 0.000 9.976
Se 0.000 0.000 20.434
Se 0.000 0.000 30.429
Se 0.000 0.000 40.887
CELL_PARAMETERS angstrom
2.077 1.199 16.954
-2.077 1.199 16.954
0.000 -2.398 16.954

=====

! Ca2Mg2Se (GGA-PBE, optimized geometry); values from VASP
! - ΔE to the lowest computed polymorph (meV per atom) = 0
&SYSTEM
  ibrav = 0, nat = 10, ntyp = 3
/
ATOMIC_SPECIES
Ca 40.08 Ca.upf
Mg 24.30 Mg.upf
Se 78.96 Se.upf
ATOMIC_POSITIONS angstrom
Ca 1.242 2.522 0.000
Ca 2.522 6.286 0.000
Ca 5.007 1.242 0.000
Ca 6.286 5.007 0.000
Mg 1.038 4.803 2.569
Mg 2.726 1.038 2.569
Mg 4.803 6.491 2.569
Mg 6.491 2.726 2.569
Se 0.000 0.000 2.569
Se 3.764 3.764 2.569
CELL_PARAMETERS angstrom
7.529 0.000 0.000
0.000 7.529 0.000
0.000 0.000 5.138

=====

! Ca5MgSe6 (GGA-PBE, optimized geometry); values from VASP
! - E (eV/atom) = -4.590
&SYSTEM
  ibrav = 0, nat = 12, ntyp = 3
/
ATOMIC_SPECIES
Ca 40.08 Ca.upf
Mg 24.30 Mg.upf
Se 78.96 Se.upf
ATOMIC_POSITIONS angstrom
Ca 0.000 0.000 0.000
Ca 2.407 4.174 3.402
Ca 3.609 2.099 0.000
Ca 3.609 -2.099 0.000
Ca 2.407 -4.174 3.402
Mg 2.407 0.000 3.402
Se 1.242 2.019 1.742
Se 0.086 0.000 5.051
Se 1.242 -2.019 1.742
Se 3.572 2.019 5.062
Se 4.728 0.000 1.753
Se 3.572 -2.019 5.062
CELL_PARAMETERS angstrom
3.609 -6.254 0.000
3.609 6.254 0.000
-2.404 0.000 6.805

=====

| no. | total magnetization (μB per atom) |
| --- | --- |
| 1 | 0.000 |
| 2 | 0.201 |
| 3 | 0.000 |
| 4 | 0.000 |
| 5 | 0.000 |
| 6 | 0.000 |
| 7 | 0.000 |
| 8 | 0.000 |
| 9 | 0.001 |
| 10 | 0.000 |
| 11 | 0.000 |
| 12 | 0.000 |
| 13 | 0.000 |
| 14 | 0.000 |
| 15 | 0.000 |
| 16 | 0.000 |
| 17 | 0.000 |
| 18 | 0.000 |
| 19 | 0.000 |
| 20 | 0.000 |
| 21 | 0.000 |
| 22 | 0.000 |
| 23 | 0.000 |
| 24 | 0.000 |
| 25 | 0.000 |
| 26 | 0.000 |
| 27 | 0.000 |